## TlCo (PBE)

Data for a relaxed TlCo crystal.

Calculated values
The calculation puts the electronic total energy at -0.299 Ry/atom. The total magnetization is 9.29 μB per cell. The formation energy is 666.2 meV per atom. The crystal system is cubic.

Lattice parameters (Å, degrees): 7.866 7.866 7.866 90.00 90.00 90.00
Last column: magnetic moment on the atom in μB.
Fractional coordinates of all 16 atoms:
Tl 0.291 0.291 0.291  -0.07
Tl 0.291 0.709 0.709  -0.07
Tl 0.709 0.291 0.709  -0.07
Tl 0.709 0.709 0.291  -0.07
Tl 0.791 0.791 0.791  -0.07
Tl 0.791 0.209 0.209  -0.07
Tl 0.209 0.791 0.209  -0.07
Tl 0.209 0.209 0.791  -0.07
Co 0.104 0.104 0.104  1.35
Co 0.104 0.896 0.896  1.35
Co 0.896 0.104 0.896  1.35
Co 0.896 0.896 0.104  1.35
Co 0.604 0.604 0.604  1.35
Co 0.604 0.396 0.396  1.35
Co 0.396 0.604 0.396  1.35
Co 0.396 0.396 0.604  1.35

## TlCo (PBE)

Data for a relaxed TlCo crystal.

Calculated values
The calculation puts the electronic total energy at -0.295 Ry/atom. The total magnetization is 2.12 μB per cell. The formation energy is 716.1 meV per atom. The crystal system is tetragonal.

Lattice parameters (Å, degrees): 5.394 5.394 5.394 137.97 137.97 60.95
Last column: magnetic moment on the atom in μB.
Fractional coordinates of all 4 atoms:
Co 0.000 0.000 0.000  1.15
Co 0.250 0.750 0.500  1.15
Tl 0.500 0.500 0.000  -0.04
Tl 0.750 0.250 0.500  -0.04

## TlCo (PBE)

Data for a relaxed TlCo crystal.

Calculated values
The calculation puts the electronic total energy at -0.297 Ry/atom. The total magnetization is 0.77 μB per cell. The formation energy is 695.1 meV per atom. The crystal system is trigonal.

Lattice parameters (Å, degrees): 4.418 4.418 4.418 42.16 42.16 42.16
Last column: magnetic moment on the atom in μB.
Fractional coordinates of all 2 atoms:
Co 0.000 0.000 0.000  0.87
Tl 0.500 0.500 0.500  -0.04